# PuCoPb2O8

A geometry-optimized PuCoPb2O8 structure (GGA+U, Alexandria via LeMat-Bulk).

Cell and atoms, written as extended XYZ:
```
12
Lattice="-4.3097 -0.8397 2.5324 -0.9830 -3.8820 -3.0900 3.1779 -4.0424 4.0674" Properties=species:S:1:pos:R:3 pbc="T T T"
O -0.8381 -4.2697 -1.1049
O -0.5018 -7.3341 3.6707
O 0.0425 -3.3945 1.8769
Pb -1.8276 -3.4024 0.7691
Pu 0.0000 0.0000 0.0000
O -2.9607 -2.3520 2.4590
O -1.2766 -4.4943 4.6147
Co 1.5889 -2.0212 2.0337
Pb -0.2872 -5.3617 2.7407
O -2.1573 -5.3696 1.6329
O -1.6130 -1.4300 -0.1609
O 0.8460 -6.4121 1.0508
```

Values from the calculation:
* E: -0.510 Ry per atom
* D(E_F): 0.40 states/eV/atom